NdReRu | PBE | relaxed

Cell lengths 6.514, 6.514, 6.513 Å; angles 64.11, 137.38, 134.49 degrees
Element x y z (fractional)
1 Re 0.000 0.000 0.500
2 Re 0.500 0.500 0.500
3 Ru 0.250 0.053 0.303
4 Ru 0.750 0.947 0.697
5 Nd 0.750 0.384 0.134
6 Nd 0.250 0.616 0.866

Values from the calculation:
As for the space-group type: Imma, No. 74. The formation energy comes out at 0.249 eV per atom. Its total DFT energy (no corrections) is -51.49 eV per cell.



NdReS2 | PBE | relaxed

Cell lengths 3.263, 3.263, 9.056 Å; angles 79.62, 79.62, 60.00 degrees
Element x y z (fractional)
1 S 0.108 0.108 0.676
2 S 0.892 0.892 0.324
3 Re 0.500 0.500 0.500
4 Nd 0.000 0.000 0.000

Values from the calculation:
As for the space-group type: R-3m, No. 166. Its total DFT energy (no corrections) is -26.27 eV per cell.



NdScRe4 | PBE | relaxed

Cell lengths 5.402, 5.402, 5.402 Å; angles 60.00, 60.00, 60.00 degrees
Element x y z (fractional)
1 Re 0.625 0.625 0.124
2 Re 0.625 0.625 0.625
3 Re 0.625 0.124 0.625
4 Re 0.124 0.625 0.625
5 Sc 0.000 0.000 0.000
6 Nd 0.250 0.250 0.250

Values from the calculation:
As for the space-group type: F-43m, No. 216. The formation energy comes out at -0.081 eV per atom. Its total DFT energy (no corrections) is -61.38 eV per cell.



NdRe4Se8 | PBE | relaxed

Cell lengths 7.464, 7.473, 7.753 Å; angles 89.99, 118.72, 120.04 degrees
Site moments in Bohr magnetons follow the coordinates.
Element x y z (fractional)
1 Se 0.982 0.234 0.216  0.04
2 Se 0.478 0.739 0.217  0.03
3 Se 0.522 0.261 0.783  0.03
4 Se 0.982 0.748 0.216  0.04
5 Se 0.018 0.766 0.784  0.04
6 Se 0.468 0.234 0.216  0.04
7 Se 0.532 0.766 0.784  0.04
8 Se 0.018 0.252 0.784  0.04
9 Re 0.000 0.000 0.000  1.34
10 Re 0.500 0.500 0.000  1.37
11 Re 0.000 0.500 0.000  1.34
12 Re 0.500 0.000 0.000  1.37
13 Nd 0.000 0.500 0.500  0.00

Values from the calculation:
As for the space-group type: C2/m, No. 12. Its total DFT energy (no corrections) is -84.33 eV per cell.



NdRe3Si3 | PBE | relaxed

Cell lengths 6.627, 6.627, 6.627 Å; angles 90.00, 90.00, 90.00 degrees
Element x y z (fractional)
1 Re 0.500 0.750 0.000
2 Re 0.750 0.000 0.500
3 Re 0.000 0.500 0.250
4 Re 0.500 0.250 0.000
5 Re 0.000 0.500 0.750
6 Re 0.250 0.000 0.500
7 Nd 0.500 0.500 0.500
8 Nd 0.000 0.000 0.000
9 Si 0.000 0.250 0.500
10 Si 0.250 0.500 0.000
11 Si 0.000 0.750 0.500
12 Si 0.500 0.000 0.750
13 Si 0.500 0.000 0.250
14 Si 0.750 0.500 0.000

Values from the calculation:
As for the space-group type: Pm-3n, No. 223. The value obtained for the energy above the most stable polymorph in this dataset is 4.26 eV/f.u. Its total DFT energy (no corrections) is -111.45 eV per cell.



NdRe3Si3 | PBE | relaxed

Cell lengths 4.424, 8.781, 8.980 Å; angles 131.92, 90.00, 90.00 degrees
Element x y z (fractional)
1 Re 0.750 0.008 0.843
2 Re 0.750 0.224 0.256
3 Re 0.250 0.992 0.157
4 Re 0.750 0.774 0.943
5 Re 0.250 0.226 0.057
6 Re 0.250 0.776 0.744
7 Si 0.750 0.404 0.133
8 Si 0.750 0.590 0.582
9 Si 0.250 0.032 0.700
10 Si 0.750 0.968 0.300
11 Si 0.250 0.410 0.418
12 Si 0.250 0.596 0.867
13 Nd 0.750 0.292 0.726
14 Nd 0.250 0.708 0.274

Values from the calculation:
As for the space-group type: P2_1/m, No. 11. The value obtained for the energy above the most stable polymorph in this dataset is 0.00 eV/f.u. Its total DFT energy (no corrections) is -119.97 eV per cell.



Nd3Re3Si8 | PBE | relaxed

Cell lengths 4.209, 8.039, 8.039 Å; angles 76.13, 74.82, 74.82 degrees
Element x y z (fractional)
1 Si 0.833 0.801 0.532
2 Si 0.167 0.468 0.199
3 Si 0.167 0.199 0.468
4 Si 0.833 0.532 0.801
5 Si 0.620 0.671 0.089
6 Si 0.380 0.329 0.911
7 Si 0.380 0.911 0.329
8 Si 0.620 0.089 0.671
9 Nd 0.816 0.184 0.184
10 Nd 0.184 0.816 0.816
11 Nd 0.500 0.500 0.500
12 Re 0.000 0.773 0.227
13 Re 0.000 0.227 0.773
14 Re 0.500 0.000 0.000

Values from the calculation:
As for the space-group type: Immm, No. 71. Its total DFT energy (no corrections) is -99.86 eV per cell.



Nd3Re2Si4 | PBE | relaxed

Cell lengths 4.267, 5.991, 8.308 Å; angles 107.69, 90.00, 110.86 degrees
Element x y z (fractional)
1 Nd 0.000 0.000 0.000
2 Nd 0.382 0.765 0.300
3 Nd 0.618 0.235 0.700
4 Si 0.107 0.214 0.412
5 Si 0.714 0.429 0.079
6 Si 0.286 0.571 0.921
7 Si 0.893 0.786 0.588
8 Re 0.314 0.627 0.646
9 Re 0.686 0.373 0.354

Values from the calculation:
As for the space-group type: C2/m, No. 12. Its total DFT energy (no corrections) is -65.66 eV per cell.



NdRe4Si4 | PBE | relaxed

Cell lengths 4.669, 8.149, 8.149 Å; angles 90.00, 90.00, 90.00 degrees
Element x y z (fractional)
1 Re 0.411 0.378 0.876
2 Re 0.911 0.624 0.878
3 Re 0.089 0.122 0.624
4 Re 0.911 0.376 0.122
5 Re 0.589 0.876 0.622
6 Re 0.589 0.124 0.378
7 Re 0.411 0.622 0.124
8 Re 0.089 0.878 0.376
9 Si 0.416 0.700 0.843
10 Si 0.084 0.200 0.343
11 Si 0.584 0.157 0.700
12 Si 0.916 0.657 0.200
13 Si 0.584 0.843 0.300
14 Si 0.416 0.300 0.157
15 Si 0.084 0.800 0.657
16 Si 0.916 0.343 0.800
17 Nd 0.500 0.500 0.500
18 Nd 0.000 0.000 0.000

Values from the calculation:
As for the space-group type: P4_2/n, No. 86. Its total DFT energy (no corrections) is -157.57 eV per cell.



NdSmRe | PBE | relaxed

Cell lengths 5.269, 4.346, 10.188 Å; angles 80.98, 75.01, 52.68 degrees
Element x y z (fractional)
1 Sm 0.593 0.000 0.814
2 Sm 0.407 0.000 0.186
3 Nd 0.750 0.500 0.500
4 Nd 0.250 0.500 0.500
5 Re 0.172 0.655 0.000
6 Re 0.828 0.345 0.000

Values from the calculation:
As for the space-group type: Fmmm, No. 69. The formation energy comes out at 0.756 eV per atom. Its total DFT energy (no corrections) is -39.33 eV per cell.



Tb2NdRe | PBE | relaxed

Cell lengths 3.264, 3.264, 11.642 Å; angles 81.94, 81.94, 60.00 degrees
Site moments in Bohr magnetons follow the coordinates.
Element x y z (fractional)
1 Tb 0.077 0.077 0.768  0.00
2 Tb 0.923 0.923 0.232  0.00
3 Re 0.000 0.000 0.000  0.30
4 Nd 0.500 0.500 0.500  0.00

Values from the calculation:
As for the space-group type: R-3m, No. 166. The formation energy comes out at 0.823 eV per atom. Its total DFT energy (no corrections) is -23.18 eV per cell.



Nd2Re3Tc | PBE | relaxed

Cell lengths 5.376, 5.376, 5.620 Å; angles 90.69, 117.94, 119.84 degrees
Element x y z (fractional)
1 Nd 0.748 0.374 0.122
2 Nd 0.252 0.626 0.878
3 Re 0.500 0.000 0.500
4 Re 0.500 0.500 0.500
5 Re 0.000 0.000 0.500
6 Tc 0.000 0.000 0.000

Values from the calculation:
As for the space-group type: C2/m, No. 12. The formation energy comes out at 0.037 eV per atom. Its total DFT energy (no corrections) is -57.02 eV per cell.



NdReTe | PBE | relaxed

Cell lengths 3.704, 3.704, 12.027 Å; angles 90.00, 90.00, 90.00 degrees
Element x y z (fractional)
1 Re 0.500 0.500 0.000
2 Re 0.000 0.000 0.000
3 Nd 0.000 0.500 0.222
4 Nd 0.500 0.000 0.778
5 Te 0.500 0.000 0.369
6 Te 0.000 0.500 0.631

Values from the calculation:
As for the space-group type: P4/nmm, No. 129. Its total DFT energy (no corrections) is -42.20 eV per cell.



NdTh2Re | PBE | relaxed

Cell lengths 4.024, 4.024, 9.440 Å; angles 77.69, 77.69, 60.00 degrees
Element x y z (fractional)
1 Re 0.000 0.000 0.000
2 Nd 0.500 0.500 0.500
3 Th 0.275 0.275 0.175
4 Th 0.725 0.725 0.825

Values from the calculation:
As for the space-group type: R-3m, No. 166. The value obtained for the energy above the most stable polymorph in this dataset is 0.39 eV/f.u. The formation energy comes out at 0.235 eV per atom. Its total DFT energy (no corrections) is -31.12 eV per cell.



NdThRe4 | PBE | relaxed

Cell lengths 5.525, 5.525, 5.525 Å; angles 60.00, 60.00, 60.00 degrees
Element x y z (fractional)
1 Re 0.625 0.625 0.625
2 Re 0.625 0.625 0.125
3 Re 0.625 0.125 0.625
4 Re 0.125 0.625 0.625
5 Nd 0.250 0.250 0.250
6 Th 0.000 0.000 0.000

Values from the calculation:
As for the space-group type: F-43m, No. 216. The formation energy comes out at 0.026 eV per atom. Its total DFT energy (no corrections) is -61.82 eV per cell.



NdTh2Re | PBE | relaxed

Cell lengths 3.560, 3.560, 8.928 Å; angles 90.00, 90.00, 90.00 degrees
Element x y z (fractional)
1 Re 0.500 0.500 0.000
2 Nd 0.500 0.500 0.500
3 Th 0.000 0.000 0.199
4 Th 0.000 0.000 0.801

Values from the calculation:
As for the space-group type: P4/mmm, No. 123. The value obtained for the energy above the most stable polymorph in this dataset is 0.00 eV/f.u. The formation energy comes out at 0.136 eV per atom. Its total DFT energy (no corrections) is -31.51 eV per cell.



NdThRe | PBE | relaxed

Cell lengths 3.554, 3.554, 6.519 Å; angles 105.82, 105.82, 90.00 degrees
Element x y z (fractional)
1 Nd 0.983 0.983 0.967
2 Re 0.325 0.325 0.649
3 Th 0.692 0.692 0.384

Values from the calculation:
As for the space-group type: I4mm, No. 107. The formation energy comes out at 0.189 eV per atom. Its total DFT energy (no corrections) is -24.07 eV per cell.



NdTi2Re | PBE | relaxed

Cell lengths 3.197, 3.197, 7.854 Å; angles 90.00, 90.00, 90.00 degrees
Element x y z (fractional)
1 Ti 0.000 0.000 0.818
2 Ti 0.000 0.000 0.182
3 Re 0.500 0.500 0.000
4 Nd 0.500 0.500 0.500

Values from the calculation:
As for the space-group type: P4/mmm, No. 123. The formation energy comes out at -0.069 eV per atom. Its total DFT energy (no corrections) is -33.28 eV per cell.



Nd4TlRe | PBE | relaxed

Cell lengths 6.359, 8.149, 8.149 Å; angles 113.37, 99.69, 99.69 degrees
Element x y z (fractional)
1 Nd 0.612 0.203 0.356
2 Nd 0.549 0.279 0.941
3 Nd 0.388 0.797 0.644
4 Nd 0.112 0.356 0.203
5 Nd 0.951 0.059 0.721
6 Nd 0.451 0.721 0.059
7 Nd 0.049 0.941 0.279
8 Nd 0.888 0.644 0.797
9 Tl 0.750 0.623 0.377
10 Tl 0.250 0.377 0.623
11 Re 0.750 0.999 0.001
12 Re 0.250 0.001 0.999

Values from the calculation:
As for the space-group type: C2/c, No. 15. The formation energy comes out at -0.095 eV per atom. Its total DFT energy (no corrections) is -68.91 eV per cell.



NdTmRe | PBE | relaxed

Cell lengths 5.014, 5.014, 7.656 Å; angles 109.05, 109.05, 60.07 degrees
Element x y z (fractional)
1 Re 0.443 0.443 0.829
2 Re 0.557 0.557 0.171
3 Nd 0.708 0.708 0.622
4 Nd 0.292 0.292 0.378
5 Tm 0.871 0.871 0.113
6 Tm 0.129 0.129 0.887

Values from the calculation:
As for the space-group type: C2/m, No. 12. The formation energy comes out at 0.117 eV per atom. Its total DFT energy (no corrections) is -42.67 eV per cell.



NdTm2Re | PBE | relaxed

Cell lengths 3.227, 3.227, 11.479 Å; angles 81.92, 81.92, 60.00 degrees
Site moments in Bohr magnetons follow the coordinates.
Element x y z (fractional)
1 Tm 0.078 0.078 0.765  0.00
2 Tm 0.922 0.922 0.235  0.00
3 Re 0.000 0.000 0.000  0.28
4 Nd 0.500 0.500 0.500  0.00

Values from the calculation:
As for the space-group type: R-3m, No. 166. The formation energy comes out at 0.779 eV per atom. Its total DFT energy (no corrections) is -23.04 eV per cell.



NdU2Re9 | PBE | relaxed

Cell lengths 5.265, 5.265, 9.614 Å; angles 74.11, 74.11, 60.00 degrees
Site moments in Bohr magnetons follow the coordinates.
Element x y z (fractional)
1 Re 0.921 0.415 0.249  0.04
2 Re 0.585 0.079 0.751  0.04
3 Re 0.415 0.415 0.249  0.04
4 Re 0.500 0.500 0.500  0.08
5 Re 0.415 0.921 0.249  0.04
6 Re 0.335 0.335 0.994  0.02
7 Re 0.665 0.665 0.006  0.02
8 Re 0.585 0.585 0.751  0.04
9 Re 0.079 0.585 0.751  0.04
10 Nd 0.000 0.000 0.000  0.01
11 U 0.148 0.148 0.555  -0.71
12 U 0.852 0.852 0.445  -0.71

Values from the calculation:
As for the space-group type: R-3m, No. 166. The formation energy comes out at 0.084 eV per atom. Its total DFT energy (no corrections) is -138.37 eV per cell.



NdURe | PBE | relaxed

Cell lengths 4.737, 4.793, 7.049 Å; angles 90.00, 90.00, 90.00 degrees
Site moments in Bohr magnetons follow the coordinates.
Element x y z (fractional)
1 Re 0.500 0.000 0.686  -0.19
2 Re 0.000 0.500 0.314  -0.19
3 U 0.000 0.000 0.443  1.44
4 U 0.500 0.500 0.557  1.44
5 Nd 0.000 0.000 0.944  0.13
6 Nd 0.500 0.500 0.056  0.13

Values from the calculation:
As for the space-group type: Pmmn, No. 59. The formation energy comes out at 0.369 eV per atom. Its total DFT energy (no corrections) is -54.79 eV per cell.



NdVRe | PBE | relaxed

Cell lengths 4.116, 4.116, 9.876 Å; angles 77.97, 77.97, 60.00 degrees
Element x y z (fractional)
1 Nd 0.616 0.616 0.153
2 Nd 0.384 0.384 0.847
3 V 0.863 0.863 0.412
4 V 0.137 0.137 0.588
5 Re 0.223 0.223 0.331
6 Re 0.777 0.777 0.669

Values from the calculation:
As for the space-group type: R-3m, No. 166. The formation energy comes out at 0.396 eV per atom. Its total DFT energy (no corrections) is -50.29 eV per cell.



NdV2Re | PBE | relaxed

Cell lengths 4.223, 4.223, 5.907 Å; angles 69.06, 69.06, 60.00 degrees
Element x y z (fractional)
1 V 0.801 0.801 0.596
2 V 0.199 0.199 0.404
3 Nd 0.000 0.000 0.000
4 Re 0.500 0.500 0.500

Values from the calculation:
As for the space-group type: R-3m, No. 166. The formation energy comes out at 0.236 eV per atom. Its total DFT energy (no corrections) is -34.51 eV per cell.